Material: SnHgBr2
Method: DFT, PBE
State: relaxed

a = 4.335 Å, b = 4.335 Å, c = 22.540 Å
α = 90.00°, β = 90.00°, γ = 120.00°
Atoms (fractional coordinates):
Br1 0.667 0.333 0.925
Br2 0.667 0.333 0.575
Hg1 0.333 0.667 0.250
Br3 0.333 0.667 0.075
Br4 0.333 0.667 0.425
Sn1 0.000 0.000 0.500
Hg2 0.667 0.333 0.750
Sn2 0.000 0.000 0.000

Computed properties:
energy above the lowest structure with this stoichiometry	0.001	eV per atom
electronic total energy	-19.60	eV for the cell shown



Material: Y2Ni4SnGe3
Method: DFT, PBE
State: relaxed

a = 4.139 Å, b = 4.139 Å, c = 9.916 Å
α = 90.00°, β = 90.00°, γ = 90.00°
Atoms (fractional coordinates):
Ge1 0.000 0.500 0.123
Ni1 0.000 0.500 0.358
Ge2 0.500 0.000 0.877
Y1 0.500 0.000 0.234
Sn1 0.500 0.500 0.500
Y2 0.000 0.500 0.766
Ni2 0.500 0.500 0.000
Ni3 0.000 0.000 0.000
Ge3 0.000 0.000 0.500
Ni4 0.500 0.000 0.642

Computed properties:
ΔH_f (0 K)	-0.63	eV per atom
electronic total energy	-60.24	eV for the cell shown



Material: TmNp4As5
Method: DFT, PBE
State: relaxed

a = 4.062 Å, b = 5.784 Å, c = 10.888 Å
α = 105.40°, β = 100.75°, γ = 90.00°
Last column: magnetic moment on the atom in μB.
Atoms (fractional coordinates):
Np1 0.200 0.200 0.400  -3.69
Np2 0.800 0.800 0.600  -3.69
Np3 0.599 0.599 0.197  3.66
As1 0.801 0.301 0.601  0.03
As2 0.199 0.699 0.399  0.03
As3 0.000 0.500 0.000  -0.09
As4 0.600 0.100 0.199  0.00
Np4 0.401 0.401 0.803  3.66
Tm1 0.000 0.000 0.000  0.02
As5 0.400 0.900 0.801  0.00

Computed properties:
ΔH_f (0 K)	-0.81	eV per atom
electronic total energy	-87.62	eV for the cell shown



Material: MoOs4Pb
Method: DFT, PBE
State: relaxed

a = 5.232 Å, b = 5.232 Å, c = 5.232 Å
α = 60.00°, β = 60.00°, γ = 60.00°
Atoms (fractional coordinates):
Os1 0.877 0.374 0.374
Os2 0.374 0.374 0.374
Pb1 0.750 0.750 0.750
Os3 0.374 0.877 0.374
Os4 0.374 0.374 0.877
Mo1 0.000 0.000 0.000

Computed properties:
ΔH_f (0 K)	0.86	eV per atom
electronic total energy	-54.30	eV for the cell shown



The evaluated Fermi-level density of states for the records listed, in turn: 0.00, 4.58, 36.75, 9.49 states/eV/cell.